(1)
## Te4PPb2 (PBE)

Data for an optimized crystal structure of Te4PPb2.

ΔE_f (raw): -47 meV per atom
M_tot: 0.00 μB per formula unit
Crystal system: trigonal

Lattice parameters (Å, degrees): 14.1117 14.1117 14.1117 17.49 17.49 17.49
With the nearest neighbours (Å) after each atom.
Fractional coordinates of all 7 atoms:
Te  0.1350  0.1350  0.1350  3 Pb 3.04
Te  0.2976  0.2976  0.2976  3 P 2.89
Te  0.7024  0.7024  0.7024  3 P 2.89
Te  0.8650  0.8650  0.8650  3 Pb 3.04
P  0.0000  0.0000  0.0000  6 Te 2.89
Pb  0.4260  0.4260  0.4260  3 Te 3.04
Pb  0.5740  0.5740  0.5740  3 Te 3.04

=====

(2)
## TePPb2 (PBE)

Data for an optimized crystal structure of TePPb2.

ΔE_f (raw): 153 meV per atom
M_tot: 0.00 μB per formula unit
Crystal system: orthorhombic
E above lowest polymorph: 213.6 meV per atom

Lattice parameters (Å, degrees): 6.2329 6.2329 6.2329 145.59 126.81 64.90
With the nearest neighbours (Å) after each atom.
Fractional coordinates of all 4 atoms:
Te  0.0000  0.0000  0.0000  2 P 2.84
P  0.7949  0.2949  0.5000  2 Te 2.84, 2 Pb 2.92
Pb  0.2834  0.7834  0.5000  4 P 3.35, 4 Te 3.50-3.60, 6 Pb 3.52-3.69
Pb  0.5797  0.5797  0.0000  2 P 2.92

=====

(3)
## Te2PPb (PBE)

Data for an optimized crystal structure of Te2PPb.

ΔE_f (raw): 354 meV per atom
M_tot: 0.00 μB per formula unit
Crystal system: orthorhombic
E above lowest polymorph: 341.5 meV per atom

Lattice parameters (Å, degrees): 3.4773 3.4773 9.8198 90.00 90.00 115.03
With the nearest neighbours (Å) after each atom.
Fractional coordinates of all 4 atoms:
Te  0.0000  0.0000  0.2038  2 P 2.74
Te  0.0000  0.0000  0.7962  2 P 2.74
P  0.5000  0.5000  0.0000  4 Te 2.74
Pb  0.5000  0.5000  0.5000  4 Te 3.46, 6 Pb 3.48-3.74

=====

(4)
## TePPb2 (PBE)

Data for an optimized crystal structure of TePPb2.

ΔE_f (raw): 211 meV per atom
M_tot: 0.00 μB per formula unit
Crystal system: tetragonal
E above lowest polymorph: 271.2 meV per atom

Lattice parameters (Å, degrees): 5.4138 5.4138 3.7943 90.00 90.00 90.00
With the nearest neighbours (Å) after each atom.
Fractional coordinates of all 4 atoms:
Te  0.0000  0.0000  0.0000  8 Pb 3.31
P  0.5000  0.5000  0.0000  8 Pb 3.31
Pb  0.0000  0.5000  0.5000  4 Te 3.31, 4 P 3.31
Pb  0.5000  0.0000  0.5000  4 Te 3.31, 4 P 3.31

=====

(5)
## TePPb2 (PBE)

Data for an optimized crystal structure of TePPb2.

ΔE_f (raw): -60 meV per atom
M_tot: 0.00 μB per formula unit
Crystal system: trigonal
E above lowest polymorph: 0.0 meV per atom

Lattice parameters (Å, degrees): 7.6878 7.6878 7.6878 32.60 32.60 32.60
With the nearest neighbours (Å) after each atom.
Fractional coordinates of all 4 atoms:
Te  0.0000  0.0000  0.0000  6 Pb 3.25
P  0.5000  0.5000  0.5000  6 Pb 2.94
Pb  0.2380  0.2380  0.2380  3 P 2.94, 3 Te 3.25
Pb  0.7620  0.7620  0.7620  3 P 2.94, 3 Te 3.25

=====

(6)
## TePPb2 (PBE)

Data for an optimized crystal structure of TePPb2.

ΔE_f (raw): 52 meV per atom
M_tot: 0.00 μB per formula unit
Crystal system: monoclinic
E above lowest polymorph: 111.8 meV per atom

Lattice parameters (Å, degrees): 7.6865 7.6865 4.1608 90.08 90.08 30.52
With the nearest neighbours (Å) after each atom.
Fractional coordinates of all 4 atoms:
Te  0.0000  0.0000  0.0000  5 Pb 3.02-3.20
P  0.2510  0.2510  0.5033  6 Pb 2.98-3.11
Pb  0.5917  0.5917  0.5005  2 P 3.11, 4 Te 3.20
Pb  0.7966  0.7966  0.0029  4 P 2.98, 1 Te 3.02